<1>
TeIBr2 after structural relaxation, computed with PBEsol.

abc: 9.0993 9.0993 9.0993
angles: 125.20 125.20 81.21
Fractional coordinates of all 8 atoms:
Te 0.3750 0.6250 0.7500
Te 0.6250 0.3750 0.2500
I 0.1250 0.8750 0.2500
I 0.8750 0.1250 0.7500
Br 0.0000 0.5000 0.5000
Br 0.5000 0.0000 0.0000
Br 0.5000 0.5000 0.0000
Br 0.5000 0.5000 0.5000

Summary:
spin magnetization = 1.7 Bohr magnetons per cell
space-group type = No. 141
calculated volume = 484.5 Å³/cell

<2>
TeIBr2 after structural relaxation, computed with PBEsol.

abc: 12.4280 12.4280 12.4280
angles: 16.00 16.00 16.00
Fractional coordinates of all 4 atoms:
Te 0.0000 0.0000 0.0000
I 0.5000 0.5000 0.5000
Br 0.0703 0.0703 0.0703
Br 0.9297 0.9297 0.9297

Summary:
spin magnetization = 0.0 Bohr magnetons per cell
space-group type = No. 166
calculated volume = 127.1 Å³/cell

<2> (260 meV per atom below the next structure)

<1>
Mg2InBr after structural relaxation, computed with PBEsol.

abc: 6.0290 6.0290 6.0290
angles: 147.85 121.05 68.76
Fractional coordinates of all 4 atoms:
Mg 0.2367 0.2367 0.0000
Mg 0.7633 0.7633 0.0000
In 0.5000 0.0000 0.5000
Br 0.0000 0.5000 0.5000

Summary:
spin magnetization = 0.0 Bohr magnetons per cell
space-group type = No. 71
calculated volume = 98.6 Å³/cell

<2>
Mg2InBr after structural relaxation, computed with PBEsol.

abc: 5.3706 5.3706 3.2692
angles: 90.00 90.00 90.00
Fractional coordinates of all 4 atoms:
Mg 0.0000 0.5000 0.0000
Mg 0.5000 0.0000 0.0000
In 0.0000 0.0000 0.5000
Br 0.5000 0.5000 0.5000

Summary:
spin magnetization = 0.0 Bohr magnetons per cell
space-group type = No. 123
calculated volume = 94.3 Å³/cell

<2> (53 meV per atom below the next structure)

<1>
MgInBr2 after structural relaxation, computed with PBEsol.

abc: 3.6472 3.6472 9.8770
angles: 90.00 90.00 119.22
Fractional coordinates of all 4 atoms:
Mg 0.0000 0.0000 0.0000
In 0.0000 0.0000 0.5000
Br 0.5000 0.5000 0.1806
Br 0.5000 0.5000 0.8194

Summary:
spin magnetization = 0.0 Bohr magnetons per cell
space-group type = No. 65
calculated volume = 114.7 Å³/cell

<2>
MgInBr2 after structural relaxation, computed with PBEsol.

abc: 3.4768 3.4768 8.4215
angles: 90.00 90.00 90.00
Fractional coordinates of all 4 atoms:
Mg 0.0000 0.0000 0.0000
In 0.5000 0.5000 0.7341
Br 0.0000 0.0000 0.5186
Br 0.5000 0.5000 0.1632

Summary:
spin magnetization = 0.0 Bohr magnetons per cell
space-group type = No. 99
calculated volume = 101.8 Å³/cell

<3>
MgInBr2 after structural relaxation, computed with PBEsol.

abc: 9.7534 9.7534 9.7534
angles: 23.65 23.65 23.65
Fractional coordinates of all 4 atoms:
Mg 0.0000 0.0000 0.0000
In 0.5000 0.5000 0.5000
Br 0.0891 0.0891 0.0891
Br 0.9109 0.9109 0.9109

Summary:
spin magnetization = 0.0 Bohr magnetons per cell
space-group type = No. 166
calculated volume = 131.1 Å³/cell

<1> (89 meV per atom below the next structure)